(1)
Material: MgNb2AlH
Method: DFT, PBE
State: relaxed

abc: 4.0693 4.0693 4.4523
angles: 90.00 90.00 90.00
Space group P4/mmm (No. 123)
Symmetry-distinct sites (fractional):
Mg: 0.0000 0.0000 0.0000 x1
Nb: 0.0000 0.5000 0.5000 x2
Al: 0.5000 0.5000 0.0000 x1
H: 0.0000 0.0000 0.5000 x1

- E (eV per atom) = -5.864


(2)
Material: MgAl4H12O12
Method: DFT, PBE
State: relaxed

abc: 5.1912 7.0635 7.1778
angles: 78.87 69.71 69.61
Space group P1 (No. 1)
Symmetry-distinct sites (fractional):
Mg: 0.0000 0.0000 0.0000 x1
Al: 0.3952 0.2839 0.8863 x1
Al: 0.4309 0.9049 0.2149 x1
Al: 0.8848 0.4525 0.7269 x1
Al: 0.9600 0.7521 0.3752 x1
H: 0.0230 0.2602 0.2401 x1
H: 0.1373 0.6474 0.8299 x1
H: 0.1663 0.8656 0.5918 x1
H: 0.2069 0.8223 0.7705 x1
H: 0.2344 0.3854 0.3685 x1
H: 0.2471 0.1033 0.6619 x1
H: 0.4740 0.5366 0.0406 x1
H: 0.4996 0.7691 0.6931 x1
H: 0.5719 0.4249 0.5406 x1
H: 0.6290 0.1293 0.3679 x1
H: 0.6942 0.9127 0.8276 x1
H: 0.8546 0.5998 0.1288 x1
O: 0.0836 0.5169 0.8742 x1
O: 0.1447 0.8990 0.4541 x1
O: 0.1525 0.4848 0.4662 x1
O: 0.1630 0.1900 0.7719 x1
O: 0.1839 0.1798 0.1404 x1
O: 0.2445 0.7744 0.1328 x1
O: 0.5965 0.4076 0.9734 x1
O: 0.6425 0.0044 0.9325 x1
O: 0.6662 0.3327 0.6349 x1
O: 0.6776 0.0112 0.2973 x1
O: 0.7183 0.7266 0.6491 x1
O: 0.7411 0.6718 0.2508 x1

- energy relative to the lowest polymorph listed for this composition (eV per atom) = 0.018


(3)
Material: MgAl4H12O12
Method: DFT, PBE
State: relaxed

abc: 5.2212 7.1745 8.1045
angles: 97.30 101.55 108.18
Space group P1 (No. 1)
Symmetry-distinct sites (fractional):
Mg: 0.0000 0.0000 0.0000 x1
Al: 0.0590 0.5505 0.1509 x1
Al: 0.3247 0.9322 0.4098 x1
Al: 0.4429 0.3758 0.0142 x1
Al: 0.9737 0.0868 0.6025 x1
H: 0.0615 0.7620 0.6114 x1
H: 0.1584 0.2663 0.2489 x1
H: 0.2333 0.4398 0.7364 x1
H: 0.3945 0.2733 0.5006 x1
H: 0.4853 0.7434 0.0534 x1
H: 0.4955 0.6400 0.3738 x1
H: 0.5248 0.0510 0.0308 x1
H: 0.6107 0.9568 0.7495 x1
H: 0.6851 0.9302 0.0937 x1
H: 0.7268 0.3509 0.2994 x1
H: 0.8079 0.4111 0.8470 x1
H: 0.8834 0.8492 0.1916 x1
O: 0.0695 0.8321 0.1932 x1
O: 0.1198 0.2983 0.1316 x1
O: 0.1305 0.8877 0.5752 x1
O: 0.1865 0.3115 0.7719 x1
O: 0.2132 0.1730 0.4414 x1
O: 0.3210 0.6632 0.3733 x1
O: 0.3442 0.6047 0.0354 x1
O: 0.3863 0.1070 0.9733 x1
O: 0.6730 0.0825 0.4593 x1
O: 0.7291 0.4581 0.2352 x1
O: 0.7717 0.4864 0.9427 x1
O: 0.7992 0.9558 0.7588 x1

- energy relative to the lowest polymorph listed for this composition (eV per atom) = 0.043


(4)
Material: MgAl4H12O12
Method: DFT, PBE
State: relaxed

abc: 5.2148 7.0224 7.5406
angles: 75.84 69.90 68.99
Space group P1 (No. 1)
Symmetry-distinct sites (fractional):
Mg: 0.0000 0.0000 0.0000 x1
Al: 0.0386 0.4832 0.0426 x1
Al: 0.0761 0.7987 0.6846 x1
Al: 0.5089 0.3271 0.2257 x1
Al: 0.5404 0.9632 0.5486 x1
H: 0.1166 0.2580 0.5050 x1
H: 0.2718 0.4205 0.7016 x1
H: 0.2774 0.6994 0.1414 x1
H: 0.3180 0.8937 0.1146 x1
H: 0.3303 0.0897 0.1077 x1
H: 0.3448 0.8570 0.3226 x1
H: 0.6315 0.8136 0.9999 x1
H: 0.6374 0.5677 0.3520 x1
H: 0.6851 0.1714 0.7058 x1
H: 0.7577 0.4078 0.8656 x1
H: 0.9102 0.0802 0.3193 x1
H: 0.9604 0.6423 0.4686 x1
O: 0.2305 0.5672 0.1689 x1
O: 0.2563 0.5185 0.7806 x1
O: 0.2638 0.9244 0.7618 x1
O: 0.3147 0.2524 0.4821 x1
O: 0.3176 0.2354 0.1068 x1
O: 0.3773 0.8189 0.4499 x1
O: 0.7348 0.4573 0.2706 x1
O: 0.7703 0.0525 0.2771 x1
O: 0.7763 0.0568 0.6325 x1
O: 0.8312 0.3294 0.9736 x1
O: 0.8442 0.7727 0.9631 x1
O: 0.8563 0.7190 0.5768 x1

- energy relative to the lowest polymorph listed for this composition (eV per atom) = 0.022


(5)
Material: MgAl4H12O12
Method: DFT, PBE
State: relaxed

abc: 5.2263 6.8469 7.4527
angles: 77.66 73.98 74.50
Space group P1 (No. 1)
Symmetry-distinct sites (fractional):
Mg: 0.0000 0.0000 0.0000 x1
Al: 0.4596 0.0392 0.4855 x1
Al: 0.5064 0.6833 0.8009 x1
Al: 0.9565 0.2130 0.3324 x1
Al: 0.9694 0.5272 0.9757 x1
H: 0.1103 0.3800 0.5308 x1
H: 0.1130 0.8513 0.4754 x1
H: 0.2220 0.6365 0.1694 x1
H: 0.3562 0.4413 0.6860 x1
H: 0.3568 0.1975 0.0186 x1
H: 0.4100 0.0528 0.8052 x1
H: 0.5831 0.4986 0.2706 x1
H: 0.6242 0.1365 0.1420 x1
H: 0.6744 0.9263 0.9309 x1
H: 0.7016 0.2999 0.8876 x1
H: 0.7102 0.6773 0.4485 x1
H: 0.7185 0.1546 0.6817 x1
O: 0.1446 0.2419 0.0651 x1
O: 0.1846 0.6870 0.0448 x1
O: 0.2026 0.9569 0.3924 x1
O: 0.2045 0.3038 0.4256 x1
O: 0.2567 0.5589 0.7511 x1
O: 0.3026 0.9818 0.7565 x1
O: 0.6636 0.7667 0.5447 x1
O: 0.6798 0.1874 0.5525 x1
O: 0.7187 0.0771 0.2535 x1
O: 0.7192 0.7706 0.9171 x1
O: 0.7557 0.4411 0.8543 x1
O: 0.7797 0.4844 0.2431 x1

- energy relative to the lowest polymorph listed for this composition (eV per atom) = 0.110


(6)
Material: MgAl4H12O12
Method: DFT, PBE
State: relaxed

abc: 4.9594 6.8331 6.9924
angles: 80.77 78.65 79.10
Space group P1 (No. 1)
Symmetry-distinct sites (fractional):
Mg: 0.0000 0.0000 0.0000 x1
Al: 0.2271 0.7428 0.6964 x1
Al: 0.3322 0.4506 0.0469 x1
Al: 0.7049 0.9399 0.5450 x1
Al: 0.7805 0.3047 0.2409 x1
H: 0.0004 0.5906 0.4790 x1
H: 0.0677 0.1077 0.6257 x1
H: 0.1397 0.9630 0.3151 x1
H: 0.2167 0.3169 0.3874 x1
H: 0.3766 0.9284 0.0874 x1
H: 0.4573 0.9031 0.9182 x1
H: 0.4780 0.0748 0.0995 x1
H: 0.4997 0.7326 0.3391 x1
H: 0.5149 0.3076 0.5933 x1
H: 0.6473 0.5386 0.7218 x1
H: 0.8597 0.6486 0.0288 x1
H: 0.9743 0.3746 0.8809 x1
O: 0.0520 0.6924 0.9764 x1
O: 0.0705 0.2945 0.9832 x1
O: 0.0785 0.4010 0.3110 x1
O: 0.4492 0.8195 0.4476 x1
O: 0.4589 0.8911 0.7699 x1
O: 0.4612 0.4972 0.7618 x1
O: 0.5479 0.2236 0.4847 x1
O: 0.5809 0.1983 0.0839 x1
O: 0.5883 0.5444 0.1523 x1
O: 0.9403 0.0095 0.3041 x1
O: 0.9474 0.6692 0.5927 x1
O: 0.9599 0.0052 0.6969 x1

- energy relative to the lowest polymorph listed for this composition (eV per atom) = 0.041


(7)
Material: MgAl4H12O12
Method: DFT, PBE
State: relaxed

abc: 5.0772 7.4194 7.5745
angles: 72.70 77.62 78.94
Space group P1 (No. 1)
Symmetry-distinct sites (fractional):
Mg: 0.0000 0.0000 0.0000 x1
Al: 0.0339 0.7064 0.7761 x1
Al: 0.1018 0.4195 0.1346 x1
Al: 0.5429 0.8847 0.6084 x1
Al: 0.5878 0.2500 0.3130 x1
H: 0.0014 0.7374 0.4357 x1
H: 0.0506 0.0550 0.6322 x1
H: 0.0899 0.0818 0.2986 x1
H: 0.1269 0.4002 0.4755 x1
H: 0.3494 0.6968 0.9869 x1
H: 0.4994 0.5380 0.6792 x1
H: 0.5165 0.2128 0.0120 x1
H: 0.5355 0.9492 0.2529 x1
H: 0.6088 0.1867 0.6706 x1
H: 0.6299 0.8994 0.9240 x1
H: 0.6434 0.5965 0.2362 x1
H: 0.8056 0.4240 0.9239 x1
O: 0.1511 0.6862 0.0232 x1
O: 0.1588 0.9629 0.7214 x1
O: 0.2368 0.3786 0.3605 x1
O: 0.3867 0.6606 0.6502 x1
O: 0.4718 0.0037 0.3636 x1
O: 0.4764 0.3263 0.0668 x1
O: 0.6523 0.1331 0.5622 x1
O: 0.6591 0.7992 0.8497 x1
O: 0.7504 0.4709 0.2642 x1
O: 0.8955 0.7563 0.5530 x1
O: 0.9758 0.1607 0.2054 x1
O: 0.9956 0.4512 0.8956 x1

- energy relative to the lowest polymorph listed for this composition (eV per atom) = 0.105


(8)
Material: MgAl4H12O12
Method: DFT, PBE
State: relaxed

abc: 5.1703 6.7421 7.5470
angles: 78.07 71.16 68.65
Space group P1 (No. 1)
Symmetry-distinct sites (fractional):
Mg: 0.0000 0.0000 0.0000 x1
Al: 0.0023 0.3401 0.6488 x1
Al: 0.0037 0.6567 0.3115 x1
Al: 0.5034 0.1783 0.8184 x1
Al: 0.5284 0.8188 0.1569 x1
H: 0.0232 0.4387 0.9645 x1
H: 0.0385 0.0511 0.3326 x1
H: 0.0615 0.9310 0.6911 x1
H: 0.1346 0.6722 0.6098 x1
H: 0.2820 0.7525 0.6762 x1
H: 0.4310 0.2188 0.1712 x1
H: 0.4605 0.5642 0.7332 x1
H: 0.4680 0.7813 0.5101 x1
H: 0.4740 0.5102 0.0762 x1
H: 0.4958 0.0758 0.5114 x1
H: 0.5382 0.7943 0.8128 x1
H: 0.7795 0.3699 0.3882 x1
O: 0.0182 0.6132 0.5630 x1
O: 0.0931 0.3086 0.8970 x1
O: 0.1081 0.9354 0.2522 x1
O: 0.4126 0.1962 0.5892 x1
O: 0.4208 0.5646 0.1983 x1
O: 0.4558 0.8991 0.9046 x1
O: 0.5497 0.1178 0.0778 x1
O: 0.5982 0.8187 0.3854 x1
O: 0.5989 0.4283 0.7786 x1
O: 0.9161 0.0745 0.7346 x1
O: 0.9234 0.7091 0.0793 x1
O: 0.9676 0.3662 0.3942 x1

- energy relative to the lowest polymorph listed for this composition (eV per atom) = 0.000